A plane-wave DFT calculation with GGA-PBE was carried out for a relaxed MgCdPb2 crystal.

a = 3.5153 Å, b = 5.1071 Å, c = 6.2876 Å
α = 90.00°, β = 105.13°, γ = 90.00°
Space group Pm (No. 6)
One atom of each set of equivalent atoms:
Mg 0.0000 0.0000 0.0000 [1 per cell]
Cd 0.8585 0.5000 0.7124 [1 per cell]
Pb 0.2749 0.0000 0.5297 [1 per cell]
Pb 0.5842 0.5000 0.1818 [1 per cell]

Results
Offset from the most stable computed form (meV per atom): 29
ΔH_f (0 K) (eV per atom): 0.00

A plane-wave DFT calculation with GGA-PBE was carried out for a relaxed Y2GeO6 crystal.

a = 4.9642 Å, b = 4.9642 Å, c = 10.0079 Å
α = 90.00°, β = 90.00°, γ = 90.00°
Space group P4_2/mnm (No. 136)
One atom of each set of equivalent atoms:
Y 0.0000 0.0000 0.1706 [4 per cell]
Ge 0.0000 0.0000 0.5000 [2 per cell]
O 0.1836 0.1836 0.3585 [8 per cell]
O 0.2271 0.2271 0.0000 [4 per cell]

Results
Energy relative to the elements, uncorrected (eV/atom): -2.258

A plane-wave DFT calculation with GGA-PBE was carried out for a relaxed TcAs2P crystal.

a = 6.2929 Å, b = 6.2929 Å, c = 6.2929 Å
α = 90.00°, β = 90.00°, γ = 90.00°
Space group F-43m (No. 216)
One atom of each set of equivalent atoms:
Tc 0.0000 0.0000 0.0000 [4 per cell]
As 0.0000 0.0000 0.5000 [4 per cell]
As 0.2500 0.2500 0.7500 [4 per cell]
P 0.2500 0.2500 0.2500 [4 per cell]

Results
ΔH_f (0 K) (eV per atom): 0.41

A plane-wave DFT calculation with GGA-PBE was carried out for a relaxed CaSO3 crystal.

a = 3.7750 Å, b = 3.7750 Å, c = 3.7750 Å
α = 90.00°, β = 90.00°, γ = 90.00°
Space group Pm-3m (No. 221)
One atom of each set of equivalent atoms:
Ca 0.0000 0.0000 0.0000 [1 per cell]
S 0.5000 0.5000 0.5000 [1 per cell]
O 0.0000 0.5000 0.5000 [3 per cell]

Results
Energy relative to the elements, uncorrected (eV/atom): -1.304

A plane-wave DFT calculation with GGA-PBE was carried out for a relaxed Zr4C2N crystal.

a = 3.2901 Å, b = 10.9284 Å, c = 11.2453 Å
α = 90.00°, β = 90.00°, γ = 90.00°
Space group Cmcm (No. 63)
One atom of each set of equivalent atoms:
Zr 0.0000 0.0000 0.0000 [4 per cell]
Zr 0.0000 0.2731 0.1172 [8 per cell]
Zr 0.0000 0.4572 0.7500 [4 per cell]
C 0.0000 0.3609 0.5668 [8 per cell]
N 0.0000 0.0969 0.7500 [4 per cell]

Results
Energy relative to the elements, uncorrected (eV/atom): -0.791
Offset from the most stable computed form (meV per atom): 163

A plane-wave DFT calculation with GGA-PBE was carried out for a relaxed BaAg2Hg3 crystal.

a = 11.1179 Å, b = 9.7725 Å, c = 5.9057 Å
α = 90.00°, β = 90.00°, γ = 90.00°
Space group Cmcm (No. 63)
One atom of each set of equivalent atoms:
Ba 0.0000 0.1799 0.2500 [4 per cell]
Ag 0.2299 0.5000 0.0000 [8 per cell]
Hg 0.0000 0.4515 0.7500 [4 per cell]
Hg 0.1787 0.2275 0.7500 [8 per cell]

Results
Offset from the most stable computed form (meV per atom): 0
ΔH_f (0 K) (eV per atom): -0.22

A plane-wave DFT calculation with GGA-PBE was carried out for a relaxed AlCr2Co crystal.

a = 6.6154 Å, b = 6.6154 Å, c = 4.7689 Å
α = 90.00°, β = 90.00°, γ = 90.00°
Space group I-42d (No. 122)
One atom of each set of equivalent atoms:
Al 0.0000 0.0000 0.0000 [4 per cell]
Cr 0.2128 0.2500 0.6250 [8 per cell]
Co 0.0000 0.0000 0.5000 [4 per cell]

Results
ΔH_f (0 K) (eV per atom): 0.47

A plane-wave DFT calculation with GGA-PBE was carried out for a relaxed Cs2W3Cl9 crystal.

a = 11.0316 Å, b = 17.6484 Å, c = 10.1607 Å
α = 90.00°, β = 119.05°, γ = 90.00°
Space group C2/m (No. 12)
One atom of each set of equivalent atoms:
Cs 0.1251 0.1537 0.3269 [8 per cell]
W 0.1122 0.5000 0.8929 [4 per cell]
W 0.1336 0.4151 0.1205 [8 per cell]
Cl 0.0000 0.3033 0.0000 [4 per cell]
Cl 0.0358 0.4041 0.2938 [8 per cell]
Cl 0.1953 0.0000 0.6860 [4 per cell]
Cl 0.2015 0.1858 0.7013 [8 per cell]
Cl 0.2077 0.0967 0.9826 [8 per cell]
Cl 0.2211 0.5000 0.7230 [4 per cell]

Results
Energy relative to the elements, uncorrected (eV/atom): -1.071

A plane-wave DFT calculation with GGA-PBE was carried out for a relaxed SrAlSiPd3 crystal.

a = 6.9482 Å, b = 12.2780 Å, c = 5.8198 Å
α = 90.00°, β = 90.00°, γ = 90.00°
Space group Cmcm (No. 63)
One atom of each set of equivalent atoms:
Sr 0.0000 0.2228 0.2500 [4 per cell]
Al 0.0000 0.4986 0.2500 [4 per cell]
Si 0.0000 0.1086 0.7500 [4 per cell]
Pd 0.0000 0.3001 0.7500 [4 per cell]
Pd 0.2060 0.0000 0.0000 [8 per cell]

Results
Energy relative to the elements, uncorrected (eV/atom): -0.623

A plane-wave DFT calculation with GGA-PBE was carried out for a relaxed Pm2Sc3In4 crystal.

a = 6.7074 Å, b = 16.5047 Å, c = 8.6710 Å
α = 90.00°, β = 90.00°, γ = 90.00°
Space group Cmce (No. 64)
One atom of each set of equivalent atoms:
Pm 0.0000 0.1098 0.0836 [8 per cell]
Sc 0.0000 0.0000 0.5000 [4 per cell]
Sc 0.2500 0.2210 0.7500 [8 per cell]
In 0.0000 0.1807 0.4609 [8 per cell]
In 0.2500 0.0440 0.7500 [8 per cell]

Results
ΔH_f (0 K) (eV per atom): -0.33

A plane-wave DFT calculation with GGA-PBE was carried out for a relaxed La6Si2PtI3 crystal.

a = 20.1297 Å, b = 4.3367 Å, c = 9.4558 Å
α = 90.00°, β = 106.47°, γ = 90.00°
Space group C2/m (No. 12)
One atom of each set of equivalent atoms:
La 0.0110 0.0000 0.2146 [4 per cell]
La 0.1585 0.5000 0.1119 [4 per cell]
La 0.1773 0.5000 0.5567 [4 per cell]
Si 0.1668 0.0000 0.3338 [4 per cell]
Pt 0.0000 0.5000 0.0000 [2 per cell]
I 0.0000 0.5000 0.5000 [2 per cell]
I 0.1678 0.0000 0.8301 [4 per cell]

Results
Energy relative to the elements, uncorrected (eV/atom): -1.053

A plane-wave DFT calculation with GGA-PBE was carried out for a relaxed Tb8Hg4PS3 crystal.

a = 13.4958 Å, b = 7.8061 Å, c = 8.8406 Å
α = 90.00°, β = 120.57°, γ = 90.00°
Space group C2/m (No. 12)
One atom of each set of equivalent atoms:
Tb 0.0122 0.2486 0.2881 [8 per cell]
Tb 0.2364 0.0000 0.7118 [4 per cell]
Tb 0.2375 0.5000 0.7122 [4 per cell]
Hg 0.0000 0.0000 0.0000 [2 per cell]
Hg 0.0000 0.5000 0.0000 [2 per cell]
Hg 0.2500 0.2500 0.0000 [4 per cell]
P 0.0000 0.0000 0.5000 [2 per cell]
S 0.0000 0.5000 0.5000 [2 per cell]
S 0.2500 0.2500 0.5000 [4 per cell]

Results
Energy relative to the elements, uncorrected (eV/atom): -1.177

A plane-wave DFT calculation with GGA-PBE was carried out for a relaxed Nb3GaGe crystal.

a = 4.7561 Å, b = 4.7561 Å, c = 4.7561 Å
α = 90.00°, β = 90.00°, γ = 90.00°
Space group Pm-3m (No. 221)
One atom of each set of equivalent atoms:
Nb 0.0000 0.0000 0.5000 [3 per cell]
Ga 0.5000 0.5000 0.5000 [1 per cell]
Ge 0.0000 0.0000 0.0000 [1 per cell]

Results
Offset from the most stable computed form (meV per atom): 1047
ΔH_f (0 K) (eV per atom): 0.83

A plane-wave DFT calculation with GGA-PBE was carried out for a relaxed LiTb3Nd2Se6 crystal.

a = 7.1385 Å, b = 12.4020 Å, c = 7.1476 Å
α = 90.00°, β = 109.65°, γ = 90.00°
Space group C2/m (No. 12)
One atom of each set of equivalent atoms:
Li 0.0000 0.0000 0.0000 [2 per cell]
Tb 0.0000 0.1685 0.5000 [4 per cell]
Tb 0.0000 0.5000 0.5000 [2 per cell]
Nd 0.0000 0.3345 0.0000 [4 per cell]
Se 0.2342 0.0000 0.7481 [4 per cell]
Se 0.2439 0.1600 0.2531 [8 per cell]

Results
Energy relative to the elements, uncorrected (eV/atom): -1.777

A plane-wave DFT calculation with GGA-PBE was carried out for a relaxed HgRh crystal.

a = 2.8991 Å, b = 14.8563 Å, c = 3.4925 Å
α = 90.00°, β = 90.00°, γ = 90.00°
Space group Cmcm (No. 63)
One atom of each set of equivalent atoms:
Hg 0.0000 0.0837 0.2500 [4 per cell]
Rh 0.0000 0.2944 0.2500 [4 per cell]

Results
ΔH_f (0 K) (eV per atom): 0.21

A plane-wave DFT calculation with GGA-PBE was carried out for a relaxed ZnCSBr2 crystal.

a = 5.1130 Å, b = 5.1130 Å, c = 4.6377 Å
α = 90.00°, β = 90.00°, γ = 90.00°
Space group P4/mmm (No. 123)
One atom of each set of equivalent atoms:
Zn 0.0000 0.0000 0.0000 [1 per cell]
C 0.5000 0.5000 0.5000 [1 per cell]
S 0.0000 0.0000 0.5000 [1 per cell]
Br 0.0000 0.5000 0.0000 [2 per cell]

Results
Energy relative to the elements, uncorrected (eV/atom): 1.572

A plane-wave DFT calculation with GGA-PBE was carried out for a relaxed FeAs4Rh crystal.

a = 5.9387 Å, b = 5.9192 Å, c = 5.8799 Å
α = 90.00°, β = 91.08°, γ = 90.00°
Space group P2_1/c (No. 14)
One atom of each set of equivalent atoms:
Fe 0.0000 0.0000 0.0000 [2 per cell]
As 0.1134 0.1264 0.6297 [4 per cell]
As 0.3669 0.6171 0.6099 [4 per cell]
Rh 0.5000 0.0000 0.5000 [2 per cell]

Results
Offset from the most stable computed form (meV per atom): 0
ΔH_f (0 K) (eV per atom): -0.18

A plane-wave DFT calculation with GGA-PBE was carried out for a relaxed YTaCo2 crystal.

a = 3.3524 Å, b = 3.3524 Å, c = 6.2679 Å
α = 90.00°, β = 90.00°, γ = 90.00°
Space group P4mm (No. 99)
One atom of each set of equivalent atoms:
Y 0.0000 0.0000 0.0000 [1 per cell]
Ta 0.5000 0.5000 0.6074 [1 per cell]
Co 0.0000 0.0000 0.4833 [1 per cell]
Co 0.5000 0.5000 0.2402 [1 per cell]

Results
ΔH_f (0 K) (eV per atom): 0.17

A plane-wave DFT calculation with GGA-PBE was carried out for a relaxed Sc2CdInH crystal.

a = 4.4271 Å, b = 4.4271 Å, c = 4.6115 Å
α = 90.00°, β = 90.00°, γ = 90.00°
Space group P4/mmm (No. 123)
One atom of each set of equivalent atoms:
Sc 0.0000 0.5000 0.0000 [2 per cell]
Cd 0.0000 0.0000 0.5000 [1 per cell]
In 0.5000 0.5000 0.5000 [1 per cell]
H 0.5000 0.5000 0.0000 [1 per cell]

Results
Offset from the most stable computed form (meV per atom): 64

N(E_F) in states/eV per atom, matching the order above: 0.324; 0.578; 0.840; 0.029; 0.426; 0.490; 1.361; 0.040; 0.494; 1.131; 0.792; 0.433; 1.352; 0.456; 1.084; 1.791; 0.976; 0.716; 0.640
Volume in A^3/atom, matching the order above: 27.24; 13.70; 15.58; 10.76; 14.44; 26.74; 13.04; 30.88; 20.69; 26.66; 32.98; 25.06; 21.52; 24.83; 18.80; 24.25; 17.22; 17.61; 18.08